Record 1
Entry from Alexandria: an optimized crystal structure of Na3Hg12Sb5 (PBE).

## Properties
**Formation energy (no corrections)**: 0.107 eV/atom

Unit cell a=17.2487 b=17.2487 c=17.2487 alpha=90.00 beta=90.00 gamma=90.00
With the nearest neighbours (Å) after each atom.
Space group Ia-3d (No. 230)
Asymmetric unit:
Na: 0.0000 0.2500 0.1250 [24 per cell]  8 Hg 3.06-3.16
Hg: 0.0124 0.0757 0.6555 [96 per cell]  2 Sb 2.85-2.99, 2 Na 3.06-3.16, 1 Hg 3.11
Sb: 0.0000 0.0000 0.0000 [16 per cell]  6 Hg 2.99
Sb: 0.0000 0.2500 0.3750 [24 per cell]  4 Hg 2.85

=====

Record 2
Entry from Alexandria: an optimized crystal structure of BaInCo (PBE).

## Properties
**Energy relative to the elements**: 0.20 eV/atom

Unit cell a=3.5715 b=3.5715 c=12.2057 alpha=90.00 beta=90.00 gamma=90.00
With the nearest neighbours (Å) after each atom.
Space group I4mm (No. 107)
Asymmetric unit:
Ba: 0.0000 0.0000 0.0000 [2 per cell]  5 In 3.37-3.72, 5 Co 3.50-3.69, 4 Ba 3.57
In: 0.0000 0.0000 0.2763 [2 per cell]  4 Co 2.70
Co: 0.0000 0.0000 0.6980 [2 per cell]  4 In 2.70

=====

Record 3
Entry from Alexandria: an optimized crystal structure of Th6PtC2S3 (PBE).

## Properties
**Formation energy (no corrections)**: -1.224 eV/atom

Unit cell a=17.6275 b=3.9152 c=8.2183 alpha=90.00 beta=104.41 gamma=90.00
With the nearest neighbours (Å) after each atom.
Space group C2/m (No. 12)
Asymmetric unit:
Th: 0.0150 0.0000 0.2602 [4 per cell]  1 C 2.65, 2 S 2.84, 2 Pt 2.86
Th: 0.1720 0.5000 0.1219 [4 per cell]  2 C 2.64, 1 S 2.86, 1 Pt 2.95
Th: 0.1746 0.5000 0.5664 [4 per cell]  3 C 2.65-2.71
Pt: 0.0000 0.5000 0.0000 [2 per cell]  6 Th 2.86-2.95
C: 0.1704 0.0000 0.3363 [4 per cell]  6 Th 2.64-2.71
S: 0.0000 0.5000 0.5000 [2 per cell]  6 Th 2.84-2.99
S: 0.1622 0.0000 0.8364 [4 per cell]  6 Th 2.86-3.03

=====

Record 4
Entry from Alexandria: an optimized crystal structure of Cu3BBr (PBE).

## Properties
**Distance to the lowest polymorph of the same formula**: 0 meV per atom
**Formation energy (no corrections)**: 0.566 eV/atom

Unit cell a=4.1575 b=4.1575 c=4.1575 alpha=90.00 beta=90.00 gamma=90.00
With the nearest neighbours (Å) after each atom.
Space group Pm-3m (No. 221)
Asymmetric unit:
Cu: 0.0000 0.0000 0.5000 [3 per cell]  2 B 2.08
B: 0.0000 0.0000 0.0000 [1 per cell]  6 Cu 2.08
Br: 0.5000 0.5000 0.5000 [1 per cell]  12 Cu 2.94

=====

Record 5
Entry from Alexandria: an optimized crystal structure of LaNi4Sn12 (PBE).

## Properties
**Energy relative to the elements**: -0.24 eV/atom

Unit cell a=9.2635 b=9.2635 c=9.2635 alpha=90.00 beta=90.00 gamma=90.00
With the nearest neighbours (Å) after each atom.
Space group Im-3 (No. 204)
Asymmetric unit:
La: 0.0000 0.0000 0.0000 [2 per cell]  12 Sn 3.49
Ni: 0.2500 0.2500 0.2500 [8 per cell]  6 Sn 2.57
Sn: 0.0000 0.1675 0.3377 [24 per cell]  2 Ni 2.57

=====

Record 6
Entry from Alexandria: an optimized crystal structure of BaZrAlCo2 (PBE).

## Properties
**Energy relative to the elements**: 1.81 eV/atom

Unit cell a=4.6942 b=4.6942 c=5.4346 alpha=90.00 beta=90.00 gamma=90.00
With the nearest neighbours (Å) after each atom.
Space group P4/mmm (No. 123)
Asymmetric unit:
Ba: 0.0000 0.0000 0.0000 [1 per cell]  4 Co 2.35
Zr: 0.5000 0.5000 0.5000 [1 per cell]  4 Al 3.32, 8 Co 3.59
Al: 0.0000 0.0000 0.5000 [1 per cell]  2 Ba 2.72
Co: 0.0000 0.5000 0.0000 [2 per cell]  2 Ba 2.35

=====

Record 7
Entry from Alexandria: an optimized crystal structure of In3Fe (PBE).

## Properties
**Energy relative to the elements**: 0.31 eV/atom

Unit cell a=3.9851 b=6.2110 c=7.1722 alpha=90.00 beta=90.00 gamma=90.00
With the nearest neighbours (Å) after each atom.
Space group Pmmn (No. 59, origin choice 2)
Asymmetric unit:
In: 0.2500 0.0132 0.1576 [4 per cell]  2 Fe 2.71, 3 In 2.94-3.02
In: 0.2500 0.7500 0.5558 [2 per cell]  2 Fe 2.83
Fe: 0.2500 0.2500 0.7246 [2 per cell]  6 In 2.71-2.83

=====

Record 8
Entry from Alexandria: an optimized crystal structure of Sm2Ga3Cu4Ni (PBE).

## Properties
**Energy relative to the elements**: -0.35 eV/atom

Unit cell a=4.1296 b=4.1296 c=10.1301 alpha=90.00 beta=90.00 gamma=90.00
With the nearest neighbours (Å) after each atom.
Space group P-4m2 (No. 115)
Asymmetric unit:
Sm: 0.0000 0.5000 0.2430 [2 per cell]  8 Cu 3.14-3.32, 6 Ga 3.19-3.21, 2 Ni 3.21
Ga: 0.0000 0.0000 0.0000 [1 per cell]  4 Cu 2.45
Ga: 0.0000 0.5000 0.6314 [2 per cell]  5 Cu 2.42-2.46
Cu: 0.0000 0.0000 0.5000 [1 per cell]  4 Ga 2.46
Cu: 0.0000 0.5000 0.8707 [2 per cell]  3 Ga 2.42-2.45, 2 Ni 2.45
Cu: 0.5000 0.5000 0.5000 [1 per cell]  4 Ga 2.46
Ni: 0.5000 0.5000 0.0000 [1 per cell]  4 Cu 2.45

=====

Record 9
Entry from Alexandria: an optimized crystal structure of Nd2SnPt6 (PBE).

## Properties
**Energy relative to the elements**: -0.87 eV/atom

Unit cell a=9.9074 b=5.7762 c=6.4684 alpha=90.00 beta=103.60 gamma=90.00
With the nearest neighbours (Å) after each atom.
Space group C2/m (No. 12)
Asymmetric unit:
Nd: 0.1425 0.0000 0.3465 [4 per cell]  9 Pt 3.05-3.39
Sn: 0.0000 0.5000 0.5000 [2 per cell]  6 Pt 2.63-2.67
Pt: 0.1212 0.5000 0.1799 [4 per cell]  1 Sn 2.63, 5 Pt 2.75-2.92
Pt: 0.1377 0.2374 0.8200 [8 per cell]  1 Sn 2.67, 5 Pt 2.74-2.98

=====

Record 10
Entry from Alexandria: an optimized crystal structure of BaThTl (PBE).

## Properties
**Energy relative to the elements**: -0.10 eV/atom

Unit cell a=4.1556 b=4.1556 c=27.8088 alpha=90.00 beta=90.00 gamma=90.00
With the nearest neighbours (Å) after each atom.
Space group I4/mmm (No. 139)
Asymmetric unit:
Ba: 0.0000 0.0000 0.0783 [4 per cell]  4 Tl 3.66, 1 Th 3.82
Th: 0.0000 0.0000 0.2156 [4 per cell]  5 Tl 3.36-3.55, 4 Th 3.51
Tl: 0.0000 0.0000 0.3432 [4 per cell]  5 Th 3.36-3.55, 4 Ba 3.66

=====

Record 11
Entry from Alexandria: an optimized crystal structure of Al2V8Ga (PBE).

## Properties
**Energy relative to the elements**: 0.43 eV/atom

Unit cell a=9.7907 b=8.2668 c=4.5925 alpha=90.00 beta=107.15 gamma=90.00
With the nearest neighbours (Å) after each atom.
Space group C2/m (No. 12)
Asymmetric unit:
Al: 0.1470 0.0000 0.0301 [4 per cell]  1 Ga 2.44, 3 V 2.60-2.65
V: 0.0711 0.5000 0.7918 [4 per cell]  7 V 2.49-2.70, 1 Al 2.64
V: 0.0944 0.2659 0.3540 [8 per cell]  2 V 2.26-2.49
V: 0.2178 0.5000 0.3911 [4 per cell]  2 V 2.26
Ga: 0.0000 0.0000 0.5000 [2 per cell]  2 Al 2.44, 6 V 2.55-2.66

=====

Record 12
Entry from Alexandria: an optimized crystal structure of Y2NbAu2 (PBE).

## Properties
**Energy relative to the elements**: -0.33 eV/atom

Unit cell a=7.9917 b=7.9917 c=3.6226 alpha=90.00 beta=90.00 gamma=90.00
With the nearest neighbours (Å) after each atom.
Space group P4/mbm (No. 127)
Asymmetric unit:
Y: 0.1698 0.3302 0.0000 [4 per cell]  6 Au 2.89-3.03
Nb: 0.0000 0.0000 0.5000 [2 per cell]  4 Au 3.13, 8 Y 3.48
Au: 0.1311 0.6311 0.5000 [4 per cell]  6 Y 2.89-3.03, 1 Au 2.96, 2 Nb 3.13

=====

no.,Fermi-level density of states (states/eV/atom)
1,0.686
2,1.151
3,0.674
4,1.434
5,0.413
6,0.980
7,0.738
8,0.693
9,0.480
10,1.325
11,0.951
12,1.644